Compound: Pr2Al3InCu4
Source: Alexandria
Functional: PBE
Structure: relaxed Values from VASP.

```
&SYSTEM
  ibrav = 0, nat = 10, ntyp = 4
/
ATOMIC_SPECIES
Pr 140.91 Pr.upf
Al 26.98 Al.upf
In 114.82 In.upf
Cu 63.55 Cu.upf
CELL_PARAMETERS angstrom
4.316 0.000 0.000
0.000 4.316 0.000
0.000 0.000 10.333
ATOMIC_POSITIONS angstrom
Pr 0.000 2.158 2.449
Pr 2.158 0.000 7.884
Al 0.000 2.158 9.087
Al 2.158 0.000 1.246
Al 2.158 2.158 5.166
In 0.000 0.000 5.166
Cu 0.000 0.000 0.000
Cu 0.000 2.158 6.650
Cu 2.158 0.000 3.682
Cu 2.158 2.158 0.000
```

## Properties
V, Å³/atom: 19.3
DOS at the Fermi energy, states/eV/f.u.: 5.70
M_tot, μB per formula unit: 0.00
E, eV/atom: -4.350